A plane-wave DFT calculation with GGA-PBE was carried out for crystalline DyAg7Pd4 at its relaxed geometry.

a b c (Å): 10.8032 5.1144 9.9224
angles (deg): 90.00 122.28 90.00
With the nearest neighbours (Å) after each atom.
Space group C2/m (No. 12)
Inequivalent atoms, fractional coordinates:
Dy: 0.0000 0.0000 0.0000 (multiplicity 2)  2 Ag 2.56
Ag: 0.0000 0.5000 0.0000 (multiplicity 2)  2 Dy 2.56, 4 Pd 2.72-2.75, 2 Ag 2.73
Ag: 0.0456 0.0000 0.3791 (multiplicity 4)  5 Ag 2.72-3.04, 3 Pd 2.75-2.91
Ag: 0.1587 0.5000 0.5596 (multiplicity 4)  5 Pd 2.73-2.91, 4 Ag 2.92-2.98
Ag: 0.2127 0.0000 0.9080 (multiplicity 4)  4 Pd 2.72-2.90, 4 Ag 2.72-2.99, 1 Dy 2.89
Pd: 0.0754 0.5000 0.7758 (multiplicity 4)  8 Ag 2.72-2.91, 1 Pd 2.74
Pd: 0.2128 0.5000 0.3150 (multiplicity 4)  6 Ag 2.72-2.86, 1 Pd 2.74

Calculated values
The calculation puts the total energy at -44.2 eV per formula unit. Its crystal system is monoclinic. The value obtained for the density of states at the Fermi level is 0.418 states/eV per atom. As for the volume: 19.3 Å³ per atom.